VASP calculation (PBE-GGA) on a geometry-optimized Dy3Ho2Sc2 structure.

The structure in extended XYZ format:
```
7
Lattice="2.587 -11.609 0.000 2.587 11.609 0.000 0.000 0.000 3.429" Properties=species:S:1:pos:R:3 pbc="T T T"
Dy 0.000 0.000 0.000
Dy 2.587 7.982 0.000
Dy 2.587 -7.982 0.000
Ho 2.587 1.737 1.714
Ho 2.587 -1.737 1.714
Sc 2.587 5.016 1.714
Sc 2.587 -5.016 1.714
```

Values from the calculation:
**Offset from the most stable computed form**: 0.000 eV per atom
**Energy of formation**: 0.037 eV/atom
**Volume**: 29.42 A^3/atom
**Symmetry**: Cmmm

***

VASP calculation (PBE-GGA) on a geometry-optimized Th4InTe2P structure.

The structure in extended XYZ format:
```
8
Lattice="7.591 0.000 0.000 0.000 4.357 0.000 -2.542 0.000 7.398" Properties=species:S:1:pos:R:3 pbc="T T T"
Th 1.117 0.000 1.583
Th -0.193 2.179 5.731
Th 5.242 2.179 1.667
Th 3.933 0.000 5.815
In 3.796 0.000 0.000
Te -1.271 0.000 3.699
Te 2.525 2.179 3.699
P 0.000 2.179 0.000
```

Values from the calculation:
**Volume**: 30.59 A^3/atom
**Symmetry**: P2/m
**Uncorrected formation energy**: -0.937 eV/atom

***

VASP calculation (PBE-GGA) on a geometry-optimized Sr2TcSe structure.

The structure in extended XYZ format:
```
4
Lattice="0.000 3.687 3.687 3.687 0.000 3.687 3.687 3.687 0.000" Properties=species:S:1:pos:R:3 pbc="T T T"
Sr 0.000 0.000 0.000
Sr 1.844 1.844 1.844
Tc 5.531 5.531 5.531
Se 3.687 3.687 3.687
```

Values from the calculation:
**Volume**: 25.07 A^3/atom
**Symmetry**: F-43m
**Uncorrected formation energy**: 0.367 eV/atom

***

VASP calculation (PBE-GGA) on a geometry-optimized Re2PCl structure.

The structure in extended XYZ format:
```
4
Lattice="3.707 -1.535 0.000 3.707 1.535 0.000 -2.930 0.000 6.743" Properties=species:S:1:pos:R:3 pbc="T T T"
Re 0.026 0.000 2.347
Re 4.459 0.000 4.397
P 2.243 0.000 3.372
Cl 0.000 0.000 0.000
```

Values from the calculation:
**Offset from the most stable computed form**: 0.276 eV per atom
**Volume**: 19.19 A^3/atom
**Symmetry**: C2/m
**Uncorrected formation energy**: 0.301 eV/atom

***

VASP calculation (PBE-GGA) on a geometry-optimized Nd4PIrSe2 structure.

The structure in extended XYZ format:
```
8
Lattice="7.319 0.000 0.000 0.000 4.162 0.000 -2.351 0.000 7.033" Properties=species:S:1:pos:R:3 pbc="T T T"
Nd 1.222 0.000 1.608
Nd 0.033 2.081 5.427
Nd 4.935 2.081 1.606
Nd 3.746 0.000 5.425
P 3.660 0.000 0.000
Ir 0.000 2.081 0.000
Se -1.175 0.000 3.517
Se 2.484 2.081 3.517
```

Values from the calculation:
**Volume**: 26.78 A^3/atom
**Symmetry**: P2/m
**Uncorrected formation energy**: -1.452 eV/atom

***

VASP calculation (PBE-GGA) on a geometry-optimized NaSr2PmF8 structure.

The structure in extended XYZ format:
```
12
Lattice="-2.866 2.866 5.753 2.866 -2.866 5.753 2.866 2.866 -5.753" Properties=species:S:1:pos:R:3 pbc="T T T"
Na 0.000 0.000 0.000
Sr 2.866 0.000 2.877
Sr 0.000 0.000 5.753
Pm 0.000 2.866 2.877
F 1.497 1.382 -1.501
F 4.235 1.382 -1.501
F 1.382 1.497 1.501
F 1.484 -1.369 7.254
F -1.369 1.484 4.253
F 1.369 1.484 4.253
F 1.382 4.235 1.501
F 1.484 1.369 7.254
```

Values from the calculation:
**Volume**: 15.75 A^3/atom
**Symmetry**: I-4m2
**Uncorrected formation energy**: -3.814 eV/atom